The following is a PBE calculation of a relaxed Na3Tl6Pb2 crystal, from Alexandria via LeMat-Bulk.

```
11
Lattice="9.528 0.000 2.134 4.764 7.542 1.067 1.758 0.000 4.954" Properties=species:S:1:pos:R:3 pbc="T T T"
Na 0.000 0.000 0.000
Na 4.764 2.985 1.067
Na 9.528 4.558 2.134
Tl 8.728 5.334 5.193
Tl 8.116 0.000 5.503
Tl 3.964 2.208 4.126
Tl 3.169 0.000 1.585
Tl 7.322 2.208 2.962
Tl 12.086 5.334 4.028
Pb 5.643 5.171 3.544
Pb 10.407 2.372 4.611
```

Calculated values
- Distance to the lowest polymorph of the same formula: 0.059 eV per formula unit
- DOS at the Fermi energy: 0.405 states/eV/atom
- ΔH_f (0 K): -0.06 eV/atom
- Theoretical density: 8.7 g/cm3



The following is a PBE calculation of a relaxed NbPd3Au2 crystal, from Alexandria via LeMat-Bulk.

```
12
Lattice="-3.473 -1.233 -1.719 1.456 -4.466 -4.549 -0.648 -5.741 5.429" Properties=species:S:1:pos:R:3 pbc="T T T"
Nb -0.701 -1.865 -2.056
Nb -1.316 -3.834 -4.212
Pd -2.890 -6.913 1.178
Pd -1.896 -2.032 0.479
Pd 0.225 -4.527 -2.017
Pd -2.549 -3.893 -1.678
Pd -0.116 -7.547 0.839
Pd -2.225 -4.942 3.231
Au 0.000 0.000 0.000
Au -0.324 -2.870 2.714
Au -0.984 -4.785 0.611
Au -1.681 -6.655 -1.450
```

Calculated values
- DOS at the Fermi energy: 0.751 states/eV/atom
- ΔH_f (0 K): -0.22 eV/atom
- Theoretical density: 13.4 g/cm3